Entry 1:
Below is a relaxed LiDy6Ni2 crystal, with properties calculated at the PBE level.

Output
The energy of formation from the pure elements is -191 meV/atom. The total energy is -4.7569 eV/atom. The value obtained for the spin magnetization is 0.0 μB/cell. Its crystal system is orthorhombic.

Cell lengths 9.2798, 9.5933, 10.1130 Å; angles 90.00, 90.00, 90.00 degrees
Space group Immm (No. 71)
Asymmetric unit:
1 Li 0.0000 0.0000 0.0000 [2 per cell]
2 Li 0.0000 0.0000 0.5000 [2 per cell]
3 Dy 0.0000 0.1975 0.2282 [8 per cell]
4 Dy 0.1909 0.5000 0.1797 [8 per cell]
5 Dy 0.2091 0.3184 0.5000 [8 per cell]
6 Ni 0.0000 0.3474 0.0000 [4 per cell]
7 Ni 0.0000 0.5000 0.3781 [4 per cell]

Entry 2:
Below is a relaxed LiDyNi5 crystal, with properties calculated at the PBE level.

Output
The energy of formation from the pure elements is -218 meV/atom. The total energy is -5.2786 eV/atom. The value obtained for the spin magnetization is 4.5 μB/cell. Its crystal system is orthorhombic.

Cell lengths 7.8883, 4.8233, 9.9814 Å; angles 90.00, 90.00, 90.00 degrees
Space group Pnma (No. 62)
Asymmetric unit:
1 Li 0.1341 0.2500 0.1448 [4 per cell]
2 Dy 0.2436 0.7500 0.9407 [4 per cell]
3 Ni 0.0601 0.2500 0.8980 [4 per cell]
4 Ni 0.0716 0.5028 0.6876 [8 per cell]
5 Ni 0.0948 0.7500 0.4819 [4 per cell]
6 Ni 0.1822 0.7500 0.2506 [4 per cell]

Entry 3:
Below is a relaxed LiDy2Ni9 crystal, with properties calculated at the PBE level.

Output
The energy of formation from the pure elements is -229 meV/atom. The total energy is -5.4911 eV/atom. The value obtained for the spin magnetization is 7.0 μB/cell. Its crystal system is trigonal.

Cell lengths 4.9264, 4.9264, 23.9424 Å; angles 90.00, 90.00, 120.00 degrees
Space group R-3m (No. 166, hexagonal axes)
Asymmetric unit:
1 Li 0.0000 0.0000 0.0000 [3 per cell]
2 Dy 0.0000 0.0000 0.1348 [6 per cell]
3 Ni 0.0000 0.0000 0.3330 [6 per cell]
4 Ni 0.0000 0.0000 0.5000 [3 per cell]
5 Ni 0.0014 0.5007 0.9184 [18 per cell]

Entry 4:
Below is a relaxed LiDy2Ni crystal, with properties calculated at the PBE level.

Output
The energy of formation from the pure elements is -158 meV/atom. The total energy is -4.3830 eV/atom. The value obtained for the spin magnetization is 0.0 μB/cell. Its crystal system is tetragonal.

Cell lengths 3.4516, 3.4516, 7.5722 Å; angles 90.00, 90.00, 90.00 degrees
Space group P4/mmm (No. 123)
Asymmetric unit:
1 Li 0.0000 0.0000 0.0000 [1 per cell]
2 Dy 0.5000 0.5000 0.2904 [2 per cell]
3 Ni 0.0000 0.0000 0.5000 [1 per cell]

Entry 5:
Below is a relaxed LiDy3Ni8 crystal, with properties calculated at the PBE level.

Output
The energy of formation from the pure elements is -398 meV/atom. The total energy is -5.5625 eV/atom. The value obtained for the spin magnetization is 0.0 μB/cell. Its crystal system is trigonal.

Cell lengths 4.9858, 4.9858, 24.4540 Å; angles 90.00, 90.00, 120.00 degrees
Space group R3m (No. 160, hexagonal axes)
Asymmetric unit:
1 Li 0.0000 0.0000 0.0000 [3 per cell]
2 Dy 0.0000 0.0000 0.1211 [3 per cell]
3 Dy 0.0000 0.0000 0.5075 [3 per cell]
4 Dy 0.0000 0.0000 0.6366 [3 per cell]
5 Ni 0.0000 0.0000 0.3181 [3 per cell]
6 Ni 0.0000 0.0000 0.8176 [3 per cell]
7 Ni 0.0040 0.5020 0.0674 [9 per cell]
8 Ni 0.1669 0.3339 0.9015 [9 per cell]

Entry 6:
Below is a relaxed LiDyNi4 crystal, with properties calculated at the PBE level.

Output
The energy of formation from the pure elements is -336 meV/atom. The total energy is -5.2762 eV/atom. The value obtained for the spin magnetization is 0.0 μB/cell. Its crystal system is cubic.

Cell lengths 6.9173, 6.9173, 6.9173 Å; angles 90.00, 90.00, 90.00 degrees
Space group F-43m (No. 216)
Asymmetric unit:
1 Li 0.0000 0.0000 0.0000 [4 per cell]
2 Dy 0.2500 0.2500 0.7500 [4 per cell]
3 Ni 0.1256 0.1256 0.3744 [16 per cell]

> Look up the total energy of the second one.

-5.2786 eV/atom

> Look up the total energy of the second one.

-5.2786 eV/atom

> Which value of energy of formation from the pure elements does entry 5 give?

-398 meV/atom

Repeat the first record exactly.
Below is a relaxed LiDy6Ni2 crystal, with properties calculated at the PBE level.

Output
The energy of formation from the pure elements is -191 meV/atom. The total energy is -4.7569 eV/atom. The value obtained for the spin magnetization is 0.0 μB/cell. Its crystal system is orthorhombic.

Cell lengths 9.2798, 9.5933, 10.1130 Å; angles 90.00, 90.00, 90.00 degrees
Space group Immm (No. 71)
Asymmetric unit:
1 Li 0.0000 0.0000 0.0000 [2 per cell]
2 Li 0.0000 0.0000 0.5000 [2 per cell]
3 Dy 0.0000 0.1975 0.2282 [8 per cell]
4 Dy 0.1909 0.5000 0.1797 [8 per cell]
5 Dy 0.2091 0.3184 0.5000 [8 per cell]
6 Ni 0.0000 0.3474 0.0000 [4 per cell]
7 Ni 0.0000 0.5000 0.3781 [4 per cell]